Material: Sc4MnAs
Method: DFT, GGA-PBE
State: optimized geometry

```
Sc4MnAs
1.0
0.000 4.053 4.053
4.053 0.000 4.053
4.053 4.053 0.000
Sc Mn As
4 1 1
Cartesian
3.047 3.047 3.047
5.060 5.060 3.047
5.060 3.047 5.060
3.047 5.060 5.060
6.080 6.080 6.080
0.000 0.000 0.000
```

Calculated values
Space group   F-43m
ΔH_f (0 K)   0.389 eV/atom